1.
Below is NaMg6SiO8 after structural relaxation, with properties calculated at the GGA-PBE level.

Lattice parameters (Å, degrees): 4.350 4.350 8.421 90.00 90.00 90.00
Fractional coordinates of all 16 atoms:
O 0.500 0.500 0.247
O 0.000 0.000 0.782
O 0.500 0.500 0.753
Mg 0.000 0.500 0.258
Na 0.000 0.000 0.500
Mg 0.500 0.500 0.000
O 0.000 0.000 0.218
Mg 0.500 0.500 0.500
Mg 0.000 0.500 0.742
O 0.500 0.000 0.500
Mg 0.500 0.000 0.742
O 0.000 0.500 0.500
Mg 0.500 0.000 0.258
O 0.500 0.000 0.000
Si 0.000 0.000 0.000
O 0.000 0.500 0.000

Properties
As for the symmetry: No. 123. The spin magnetization is 0.23 Bohr magnetons per cell.

---

2.
Below is NaMg6SiO8 after structural relaxation, with properties calculated at the GGA-PBE level.

Lattice parameters (Å, degrees): 4.275 4.275 8.615 90.00 90.00 90.00
Fractional coordinates of all 16 atoms:
O 0.000 0.500 0.500
Mg 0.500 0.500 0.500
Mg 0.000 0.000 0.500
Mg 0.500 0.000 0.249
O 0.500 0.000 0.000
O 0.500 0.000 0.500
O 0.000 0.000 0.236
Si 0.000 0.000 0.000
O 0.500 0.500 0.264
O 0.000 0.500 0.000
O 0.500 0.500 0.736
Mg 0.000 0.500 0.751
Mg 0.500 0.000 0.751
Na 0.500 0.500 0.000
O 0.000 0.000 0.764
Mg 0.000 0.500 0.249

Properties
As for the symmetry: No. 123. The spin magnetization is 0.00 Bohr magnetons per cell.

---

Quick one: least stable of them? 2

---

1.
Below is NaYMg6O8 after structural relaxation, with properties calculated at the GGA-PBE level.

Lattice parameters (Å, degrees): 4.409 4.409 8.942 90.00 90.00 90.00
Fractional coordinates of all 16 atoms:
Y 0.000 0.000 0.000
Mg 0.500 0.000 0.273
O 0.500 0.000 0.000
Na 0.000 0.000 0.500
Mg 0.000 0.500 0.273
O 0.500 0.500 0.752
O 0.000 0.000 0.753
O 0.000 0.500 0.000
O 0.000 0.000 0.247
O 0.000 0.500 0.500
Mg 0.500 0.000 0.727
O 0.500 0.000 0.500
O 0.500 0.500 0.248
Mg 0.000 0.500 0.727
Mg 0.500 0.500 0.500
Mg 0.500 0.500 0.000

Properties
As for the symmetry: No. 123. The spin magnetization is 0.00 Bohr magnetons per cell.

---

2.
Below is NaYMg6O8 after structural relaxation, with properties calculated at the GGA-PBE level.

Lattice parameters (Å, degrees): 4.404 4.404 8.846 90.00 90.00 90.00
Fractional coordinates of all 16 atoms:
O 0.000 0.500 0.500
Mg 0.000 0.500 0.736
O 0.500 0.000 0.500
O 0.000 0.000 0.261
O 0.000 0.000 0.739
Na 0.500 0.500 0.000
O 0.500 0.500 0.268
Mg 0.500 0.000 0.264
Mg 0.000 0.000 0.500
Mg 0.000 0.500 0.264
Mg 0.500 0.500 0.500
Mg 0.500 0.000 0.736
O 0.500 0.000 0.000
Y 0.000 0.000 0.000
O 0.500 0.500 0.732
O 0.000 0.500 0.000

Properties
As for the symmetry: No. 123. The spin magnetization is 0.00 Bohr magnetons per cell.

---

Quick one: least stable of them? 1

---

1.
Below is NaMg2Os after structural relaxation, with properties calculated at the GGA-PBE level.

Lattice parameters (Å, degrees): 4.235 4.235 9.786 77.50 77.50 90.00
Fractional coordinates of all 8 atoms:
Na 0.250 0.750 0.500
Mg 0.875 0.909 0.750
Os 0.750 0.250 0.500
Na 0.500 0.500 0.000
Mg 0.091 0.625 0.250
Mg 0.375 0.341 0.750
Mg 0.659 0.125 0.250
Os 0.000 0.000 0.000

Properties
As for the symmetry: No. 122. The spin magnetization is 0.00 Bohr magnetons per cell.

---

2.
Below is NaMg2Os after structural relaxation, with properties calculated at the GGA-PBE level.

Lattice parameters (Å, degrees): 4.676 4.676 4.676 60.00 60.00 60.00
Fractional coordinates of all 4 atoms:
Os 0.500 0.500 0.500
Na 0.000 0.000 0.000
Mg 0.750 0.750 0.750
Mg 0.250 0.250 0.250

Properties
As for the symmetry: No. 225. The spin magnetization is 0.00 Bohr magnetons per cell.

---

Quick one: least stable of them? 1

---

1.
Below is Na3MgP after structural relaxation, with properties calculated at the GGA-PBE level.

Lattice parameters (Å, degrees): 5.481 5.481 5.481 90.00 90.00 90.00
Fractional coordinates of all 5 atoms:
Na 0.000 0.500 0.000
Mg 0.500 0.500 0.500
Na 0.500 0.000 0.000
Na 0.000 0.000 0.500
P 0.000 0.000 0.000

Properties
As for the symmetry: No. 221. The spin magnetization is 0.00 Bohr magnetons per cell.

---

2.
Below is Na3MgP after structural relaxation, with properties calculated at the GGA-PBE level.

Lattice parameters (Å, degrees): 5.490 5.490 5.490 90.00 90.00 90.00
Fractional coordinates of all 5 atoms:
Mg 0.000 0.000 0.000
Na 0.000 0.000 0.500
P 0.500 0.500 0.500
Na 0.500 0.000 0.000
Na 0.000 0.500 0.000

Properties
As for the symmetry: No. 221. The spin magnetization is 0.00 Bohr magnetons per cell.

---

Quick one: least stable of them? 2

---

1.
Below is NaMg2P after structural relaxation, with properties calculated at the GGA-PBE level.

Lattice parameters (Å, degrees): 4.926 4.926 4.926 60.00 60.00 60.00
Fractional coordinates of all 4 atoms:
Na 0.000 0.000 0.000
Mg 0.250 0.250 0.250
Mg 0.750 0.750 0.750
P 0.500 0.500 0.500

Properties
As for the symmetry: No. 225. The spin magnetization is 0.00 Bohr magnetons per cell.

---

2.
Below is NaMg2P after structural relaxation, with properties calculated at the GGA-PBE level.

Lattice parameters (Å, degrees): 8.619 8.619 6.713 50.06 50.06 90.00
Fractional coordinates of all 8 atoms:
Na 0.500 0.500 0.000
Mg 0.375 0.268 0.750
Na 0.250 0.750 0.500
Mg 0.875 0.982 0.750
Mg 0.732 0.125 0.250
Mg 0.018 0.625 0.250
P 0.750 0.250 0.500
P 0.000 0.000 0.000

Properties
As for the symmetry: No. 122. The spin magnetization is 0.00 Bohr magnetons per cell.

---

Quick one: least stable of them? 1

---

1.
Below is NaMgPS2 after structural relaxation, with properties calculated at the GGA-PBE level.

Lattice parameters (Å, degrees): 4.911 4.911 4.766 90.00 90.00 90.00
Fractional coordinates of all 5 atoms:
Na 0.000 0.000 0.000
P 0.000 0.000 0.500
Mg 0.500 0.500 0.500
S 0.000 0.500 0.000
S 0.500 0.000 0.000

Properties
As for the symmetry: No. 123. The spin magnetization is 0.00 Bohr magnetons per cell.

---

2.
Below is NaMgPS2 after structural relaxation, with properties calculated at the GGA-PBE level.

Lattice parameters (Å, degrees): 4.927 4.927 4.818 90.00 90.00 90.00
Fractional coordinates of all 5 atoms:
Mg 0.000 0.000 0.000
S 0.500 0.000 0.000
S 0.000 0.500 0.000
Na 0.500 0.500 0.500
P 0.000 0.000 0.500

Properties
As for the symmetry: No. 123. The spin magnetization is 0.00 Bohr magnetons per cell.

---

Quick one: least stable of them? 1

---

1.
Below is Na2MgPb4 after structural relaxation, with properties calculated at the GGA-PBE level.

Lattice parameters (Å, degrees): 5.041 5.041 8.867 106.51 106.51 90.00
Fractional coordinates of all 7 atoms:
Mg 0.000 0.000 0.000
Na 0.249 0.249 0.497
Pb 0.608 0.108 0.216
Pb 0.108 0.608 0.216
Na 0.751 0.751 0.503
Pb 0.392 0.892 0.784
Pb 0.892 0.392 0.784

Properties
As for the symmetry: No. 139. The spin magnetization is 0.00 Bohr magnetons per cell.

---

2.
Below is Na2MgPb4 after structural relaxation, with properties calculated at the GGA-PBE level.

Lattice parameters (Å, degrees): 5.703 6.168 7.962 112.79 90.00 90.00
Fractional coordinates of all 7 atoms:
Na 0.500 0.843 0.687
Mg 0.000 0.500 0.000
Pb 0.000 0.709 0.419
Pb 0.000 0.291 0.581
Pb 0.500 0.396 0.793
Pb 0.500 0.604 0.207
Na 0.500 0.157 0.313

Properties
As for the symmetry: No. 65. The spin magnetization is 0.00 Bohr magnetons per cell.

---

Quick one: least stable of them? 2

---

1.
Below is Na2MgPb2 after structural relaxation, with properties calculated at the GGA-PBE level.

Lattice parameters (Å, degrees): 5.205 6.205 10.642 74.66 75.84 65.20
Fractional coordinates of all 10 atoms:
Pb 0.017 0.828 0.138
Na 0.477 0.709 0.336
Na 0.523 0.291 0.664
Mg 0.223 0.925 0.629
Na 0.334 0.262 0.069
Pb 0.136 0.345 0.383
Pb 0.983 0.172 0.862
Mg 0.777 0.075 0.371
Pb 0.864 0.655 0.617
Na 0.666 0.738 0.931

Properties
As for the symmetry: No. 12. The spin magnetization is 0.00 Bohr magnetons per cell.

---

2.
Below is Na2MgPb2 after structural relaxation, with properties calculated at the GGA-PBE level.

Lattice parameters (Å, degrees): 7.820 7.820 4.927 90.00 90.00 90.00
Fractional coordinates of all 10 atoms:
Pb 0.642 0.142 0.000
Na 0.162 0.662 0.500
Pb 0.858 0.642 0.000
Mg 0.500 0.500 0.000
Pb 0.358 0.858 0.000
Na 0.662 0.838 0.500
Pb 0.142 0.358 0.000
Na 0.338 0.162 0.500
Na 0.838 0.338 0.500
Mg 0.000 0.000 0.000

Properties
As for the symmetry: No. 127. The spin magnetization is 0.00 Bohr magnetons per cell.

---

Quick one: least stable of them? 2

---

1.
Below is Na2MgPb2 after structural relaxation, with properties calculated at the GGA-PBE level.

Lattice parameters (Å, degrees): 4.408 4.408 8.225 74.46 74.46 90.00
Fractional coordinates of all 5 atoms:
Mg 0.000 0.000 0.000
Na 0.250 0.750 0.500
Pb 0.404 0.404 0.193
Pb 0.596 0.596 0.807
Na 0.750 0.250 0.500

Properties
As for the symmetry: No. 139. The spin magnetization is 0.00 Bohr magnetons per cell.

---

2.
Below is Na2MgPb2 after structural relaxation, with properties calculated at the GGA-PBE level.

Lattice parameters (Å, degrees): 5.250 5.307 6.434 66.80 65.92 60.35
Fractional coordinates of all 5 atoms:
Pb 0.399 0.401 0.800
Na 0.203 0.201 0.394
Pb 0.601 0.599 0.200
Na 0.797 0.799 0.606
Mg 0.000 0.000 0.000

Properties
As for the symmetry: No. 12. The spin magnetization is 0.00 Bohr magnetons per cell.

---

Quick one: least stable of them? 1

---

1.
Below is NaMg6Pb6 after structural relaxation, with properties calculated at the GGA-PBE level.

Lattice parameters (Å, degrees): 6.194 8.147 8.147 79.97 67.66 67.66
Fractional coordinates of all 13 atoms:
Pb 0.000 0.339 0.661
Pb 0.336 0.664 0.664
Pb 0.664 0.336 0.336
Mg 0.000 0.000 0.500
Mg 0.500 0.246 0.754
Pb 0.000 0.661 0.339
Pb 0.667 0.833 0.833
Na 0.000 0.000 0.000
Mg 0.500 0.500 0.000
Mg 0.500 0.000 0.500
Pb 0.333 0.167 0.167
Mg 0.000 0.500 0.000
Mg 0.500 0.754 0.246

Properties
As for the symmetry: No. 71. The spin magnetization is 0.00 Bohr magnetons per cell.

---

2.
Below is NaMg6Pb6 after structural relaxation, with properties calculated at the GGA-PBE level.

Lattice parameters (Å, degrees): 6.190 6.190 10.651 90.00 90.00 120.01
Fractional coordinates of all 13 atoms:
Pb 0.000 0.000 0.344
Pb 0.000 0.000 0.656
Mg 0.000 0.500 0.750
Pb 0.333 0.667 0.000
Pb 0.333 0.667 0.500
Mg 0.000 0.500 0.250
Na 0.000 0.000 0.000
Mg 0.500 0.000 0.750
Mg 0.500 0.500 0.750
Mg 0.500 0.500 0.250
Pb 0.667 0.333 0.500
Pb 0.667 0.333 0.000
Mg 0.500 0.000 0.250

Properties
As for the symmetry: No. 191. The spin magnetization is 0.00 Bohr magnetons per cell.

---

Quick one: least stable of them? 2

---

1.
Below is NaMgPb after structural relaxation, with properties calculated at the GGA-PBE level.

Lattice parameters (Å, degrees): 4.494 4.494 8.505 90.00 90.00 90.00
Fractional coordinates of all 6 atoms:
Na 0.500 0.000 0.138
Pb 0.000 0.500 0.253
Na 0.000 0.500 0.862
Mg 0.500 0.500 0.500
Mg 0.000 0.000 0.500
Pb 0.500 0.000 0.747

Properties
As for the symmetry: No. 129. The spin magnetization is 0.00 Bohr magnetons per cell.

---

2.
Below is NaMgPb after structural relaxation, with properties calculated at the GGA-PBE level.

Lattice parameters (Å, degrees): 3.994 3.994 5.841 109.99 109.99 90.00
Fractional coordinates of all 3 atoms:
Pb 0.943 0.943 0.886
Na 0.616 0.616 0.232
Mg 0.291 0.291 0.583

Properties
As for the symmetry: No. 107. The spin magnetization is 0.00 Bohr magnetons per cell.

---

3.
Below is NaMgPb after structural relaxation, with properties calculated at the GGA-PBE level.

Lattice parameters (Å, degrees): 3.714 5.117 5.117 120.00 90.00 90.00
Fractional coordinates of all 3 atoms:
Na 0.000 0.000 0.000
Mg 0.501 0.333 0.667
Pb 0.498 0.667 0.333

Properties
As for the symmetry: No. 156. The spin magnetization is 0.00 Bohr magnetons per cell.

---

Quick one: least stable of them? 2